DFT (PBE) results for a relaxed Rb2FeNiI crystal.

Cell: 7.0282 4.7114 7.0282 Å, 90.00 90.00 90.00°
Last column: nearest neighbours and their distance in Å.
Sites, in units of the cell vectors:
Rb (0.5000, 0.0000, 0.0000)  2 I 3.51
Fe (0.5000, 0.5000, 0.5000)  8 Rb 4.23, 2 Fe 4.71
Ni (0.0000, 0.5000, 0.0000)  2 I 2.36
I (0.0000, 0.0000, 0.0000)  2 Ni 2.36
Rb (0.0000, 0.0000, 0.5000)  2 I 3.51

Properties
* SG: P4/mmm, No. 123
* energy relative to the elements, uncorrected: 0.6766 eV/atom
* total magnetic moment: 3.1 μB/f.u.

=====

DFT (PBE) results for a relaxed NaTb2F8 crystal.

Cell: 3.9663 7.0883 6.9412 Å, 102.53 90.00 106.25°
Last column: nearest neighbours and their distance in Å.
Sites, in units of the cell vectors:
F (0.8010, 0.6019, 0.4595)  3 Tb 2.31-2.41, 3 F 2.50-2.55
F (0.0966, 0.1932, 0.1337)  1 Tb 2.22, 2 Na 2.44
F (0.1990, 0.3981, 0.5405)  3 Tb 2.31-2.41, 3 F 2.50-2.55
F (0.5791, 0.1583, 0.7453)  1 Tb 2.16, 1 Na 2.27
Na (0.5000, 0.0000, 0.0000)  6 F 2.27-2.44
Tb (0.7378, 0.4755, 0.7418)  7 F 2.16-2.41
Tb (0.2622, 0.5245, 0.2582)  7 F 2.16-2.41
F (0.7340, 0.4680, 0.0930)  3 Tb 2.28-2.45, 3 F 2.46-2.50
F (0.2660, 0.5320, 0.9070)  3 Tb 2.28-2.45, 3 F 2.46-2.50
F (0.4209, 0.8417, 0.2547)  1 Tb 2.16, 1 Na 2.27
F (0.9034, 0.8068, 0.8663)  1 Tb 2.22, 2 Na 2.44

Properties
* SG: C2/m, No. 12
* energy relative to the elements, uncorrected: -3.4008 eV/atom
* offset from the most stable computed form: 61 meV per atom
* total magnetic moment: 1.1 μB/f.u.